VASP calculation (PBE) on GaH2Os after structural relaxation.

Cell lengths 5.256, 5.256, 5.256 Å; angles 90.00, 90.00, 90.00 degrees
Atoms (fractional coordinates):
Ga: 0.000 0.000 0.000
Ga: 0.000 0.500 0.500
Ga: 0.500 0.000 0.500
Ga: 0.500 0.500 0.000
H: 0.250 0.250 0.250
H: 0.250 0.250 0.750
H: 0.250 0.750 0.250
H: 0.250 0.750 0.750
H: 0.750 0.250 0.250
H: 0.750 0.250 0.750
H: 0.750 0.750 0.250
H: 0.750 0.750 0.750
Os: 0.000 0.000 0.500
Os: 0.000 0.500 0.000
Os: 0.500 0.000 0.000
Os: 0.500 0.500 0.500

Space group ... Fm-3m, No. 225
Calculated total energy ... -4.304 eV/atom
Mass density ... 11.98 g/cm3

---

VASP calculation (PBE) on Ga3HOs after structural relaxation.

Cell lengths 4.816, 4.816, 4.816 Å; angles 90.00, 90.00, 90.00 degrees
Atoms (fractional coordinates):
Ga: 0.000 0.000 0.500
Ga: 0.000 0.500 0.000
Ga: 0.500 0.000 0.000
H: 0.500 0.500 0.500
Os: 0.000 0.000 0.000

Space group ... Pm-3m, No. 221
Calculated total energy ... -4.326 eV/atom
Mass density ... 5.95 g/cm3

---

VASP calculation (PBE) on Ga2H2Os after structural relaxation.

Cell lengths 7.021, 7.021, 2.704 Å; angles 90.00, 90.00, 90.00 degrees
Atoms (fractional coordinates):
Ga: 0.246 0.254 0.000
Ga: 0.254 0.754 0.000
Ga: 0.746 0.246 0.000
Ga: 0.754 0.746 0.000
H: 0.039 0.539 0.500
H: 0.461 0.039 0.500
H: 0.539 0.961 0.500
H: 0.961 0.461 0.500
Os: 0.000 0.000 0.000
Os: 0.500 0.500 0.000

Space group ... P4/mbm, No. 127
Calculated total energy ... -4.485 eV/atom
Mass density ... 8.26 g/cm3

---

VASP calculation (PBE) on GaH3Os after structural relaxation.

Cell lengths 3.470, 3.470, 3.470 Å; angles 90.00, 90.00, 90.00 degrees
Atoms (fractional coordinates):
Ga: 0.000 0.000 0.000
H: 0.000 0.000 0.500
H: 0.000 0.500 0.000
H: 0.500 0.000 0.000
Os: 0.500 0.500 0.500

Space group ... Pm-3m, No. 221
Calculated total energy ... -3.563 eV/atom
Mass density ... 10.45 g/cm3

---

VASP calculation (PBE) on GaHOs2 after structural relaxation.

Cell lengths 6.143, 6.143, 4.994 Å; angles 90.00, 90.00, 90.00 degrees
Atoms (fractional coordinates):
Ga: 0.000 0.000 0.000
Ga: 0.000 0.500 0.250
Ga: 0.500 0.000 0.750
Ga: 0.500 0.500 0.500
H: 0.000 0.000 0.500
H: 0.000 0.500 0.750
H: 0.500 0.000 0.250
H: 0.500 0.500 0.000
Os: 0.153 0.250 0.625
Os: 0.250 0.653 0.875
Os: 0.250 0.847 0.375
Os: 0.347 0.250 0.125
Os: 0.653 0.750 0.125
Os: 0.750 0.153 0.375
Os: 0.750 0.347 0.875
Os: 0.847 0.750 0.625

Space group ... I-42d, No. 122
Calculated total energy ... -6.829 eV/atom
Mass density ... 15.90 g/cm3

---

VASP calculation (PBE) on Ga3HOs after structural relaxation.

Cell lengths 3.999, 3.999, 3.999 Å; angles 90.00, 90.00, 90.00 degrees
Atoms (fractional coordinates):
Ga: 0.000 0.000 0.500
Ga: 0.000 0.500 0.000
Ga: 0.500 0.000 0.000
H: 0.000 0.000 0.000
Os: 0.500 0.500 0.500

Space group ... Pm-3m, No. 221
Calculated total energy ... -4.315 eV/atom
Mass density ... 10.40 g/cm3

---

VASP calculation (PBE) on GaH5Os after structural relaxation.

Cell lengths 4.485, 4.485, 6.260 Å; angles 107.99, 107.99, 96.76 degrees
Atoms (fractional coordinates):
Ga: 0.057 0.943 0.750
Ga: 0.943 0.057 0.250
H: 0.220 0.664 0.869
H: 0.302 0.303 0.509
H: 0.303 0.302 0.009
H: 0.336 0.780 0.631
H: 0.372 0.628 0.250
H: 0.628 0.372 0.750
H: 0.664 0.220 0.369
H: 0.697 0.698 0.991
H: 0.698 0.697 0.491
H: 0.780 0.336 0.131
Os: 0.000 0.500 0.000
Os: 0.500 0.000 0.500

Space group ... C2/c, No. 15
Calculated total energy ... -4.346 eV/atom
Mass density ... 7.95 g/cm3

---

VASP calculation (PBE) on Ga2H5Os after structural relaxation.

Cell lengths 6.430, 7.111, 5.036 Å; angles 90.00, 125.72, 90.00 degrees
Atoms (fractional coordinates):
Ga: 0.000 0.186 0.000
Ga: 0.000 0.814 0.000
Ga: 0.500 0.314 0.000
Ga: 0.500 0.686 0.000
H: 0.000 0.500 0.134
H: 0.067 0.356 0.628
H: 0.067 0.644 0.628
H: 0.312 0.000 0.675
H: 0.373 0.500 0.327
H: 0.500 0.000 0.134
H: 0.567 0.144 0.628
H: 0.567 0.856 0.628
H: 0.812 0.500 0.675
H: 0.873 0.000 0.327
Os: 0.129 0.500 0.928
Os: 0.629 0.000 0.928

Space group ... Cm, No. 8
Calculated total energy ... -4.189 eV/atom
Mass density ... 5.95 g/cm3

---

VASP calculation (PBE) on Ga2H2Os after structural relaxation.

Cell lengths 2.907, 2.907, 12.581 Å; angles 90.00, 90.00, 90.00 degrees
Atoms (fractional coordinates):
Ga: 0.000 0.000 0.132
Ga: 0.000 0.000 0.868
Ga: 0.500 0.500 0.368
Ga: 0.500 0.500 0.632
H: 0.000 0.500 0.250
H: 0.000 0.500 0.750
H: 0.500 0.000 0.250
H: 0.500 0.000 0.750
Os: 0.000 0.000 0.500
Os: 0.500 0.500 0.000

Space group ... I4/mmm, No. 139
Calculated total energy ... -4.394 eV/atom
Mass density ... 10.36 g/cm3

---

VASP calculation (PBE) on GaH3Os after structural relaxation.

Cell lengths 3.533, 3.533, 3.533 Å; angles 90.00, 90.00, 90.00 degrees
Atoms (fractional coordinates):
Ga: 0.000 0.000 0.000
H: 0.000 0.500 0.500
H: 0.500 0.000 0.500
H: 0.500 0.500 0.000
Os: 0.500 0.500 0.500

Space group ... Pm-3m, No. 221
Calculated total energy ... -4.446 eV/atom
Mass density ... 9.90 g/cm3

---

VASP calculation (PBE) on GaHOsRh2 after structural relaxation.

Cell lengths 4.843, 4.843, 3.187 Å; angles 90.00, 90.00, 90.00 degrees
Atoms (fractional coordinates):
Ga: 0.000 0.000 0.000
H: 0.500 0.500 0.000
Os: 0.500 0.500 0.500
Rh: 0.000 0.500 0.500
Rh: 0.500 0.000 0.500

Space group ... P4/mmm, No. 123
Calculated total energy ... -5.752 eV/atom
Mass density ... 10.37 g/cm3

---

VASP calculation (PBE) on GaH2OsRu after structural relaxation.

Cell lengths 3.570, 3.570, 4.981 Å; angles 90.00, 90.00, 90.00 degrees
Atoms (fractional coordinates):
Ga: 0.000 0.000 0.000
H: 0.000 0.500 0.500
H: 0.500 0.000 0.500
Os: 0.500 0.500 0.000
Ru: 0.500 0.500 0.500

Space group ... P4/mmm, No. 123
Calculated total energy ... -5.419 eV/atom
Mass density ... 9.50 g/cm3

---

VASP calculation (PBE) on V2GaHOs after structural relaxation.

Cell lengths 3.847, 3.847, 3.892 Å; angles 90.00, 90.00, 90.00 degrees
Atoms (fractional coordinates):
V: 0.000 0.500 0.000
V: 0.500 0.000 0.000
Ga: 0.000 0.000 0.500
H: 0.500 0.500 0.000
Os: 0.500 0.500 0.500

Space group ... P4/mmm, No. 123
Calculated total energy ... -7.288 eV/atom
Mass density ... 10.46 g/cm3

---

VASP calculation (PBE) on Ga2HOsW after structural relaxation.

Cell lengths 4.284, 4.284, 3.433 Å; angles 90.00, 90.00, 90.00 degrees
Atoms (fractional coordinates):
Ga: 0.000 0.500 0.000
Ga: 0.500 0.000 0.000
H: 0.000 0.000 0.000
Os: 0.000 0.000 0.500
W: 0.500 0.500 0.500

Space group ... P4/mmm, No. 123
Calculated total energy ... -6.337 eV/atom
Mass density ... 13.56 g/cm3

---

VASP calculation (PBE) on Zr2GaHOs after structural relaxation.

Cell lengths 4.459, 4.459, 3.804 Å; angles 90.00, 90.00, 90.00 degrees
Atoms (fractional coordinates):
Zr: 0.000 0.500 0.000
Zr: 0.500 0.000 0.000
Ga: 0.000 0.000 0.500
H: 0.500 0.500 0.000
Os: 0.500 0.500 0.500

Space group ... P4/mmm, No. 123
Calculated total energy ... -7.307 eV/atom
Mass density ... 9.74 g/cm3

---

VASP calculation (PBE) on GaPH after structural relaxation.

Cell lengths 8.444, 3.928, 6.991 Å; angles 90.00, 102.44, 90.00 degrees
Atoms (fractional coordinates):
Ga: 0.147 0.000 0.065
Ga: 0.353 0.500 0.935
Ga: 0.647 0.500 0.065
Ga: 0.853 0.000 0.935
P: 0.228 0.500 0.255
P: 0.272 0.000 0.745
P: 0.728 0.000 0.255
P: 0.772 0.500 0.745
H: 0.103 0.000 0.658
H: 0.397 0.500 0.342
H: 0.603 0.500 0.658
H: 0.897 0.000 0.342

Space group ... C2/m, No. 12
Calculated total energy ... -3.946 eV/atom
Mass density ... 2.98 g/cm3

---

VASP calculation (PBE) on GaPH2 after structural relaxation.

Cell lengths 5.335, 5.335, 5.335 Å; angles 90.00, 90.00, 90.00 degrees
Atoms (fractional coordinates):
Ga: 0.000 0.000 0.000
Ga: 0.000 0.500 0.500
Ga: 0.500 0.000 0.500
Ga: 0.500 0.500 0.000
P: 0.000 0.000 0.500
P: 0.000 0.500 0.000
P: 0.500 0.000 0.000
P: 0.500 0.500 0.500
H: 0.250 0.250 0.250
H: 0.250 0.250 0.750
H: 0.250 0.750 0.250
H: 0.250 0.750 0.750
H: 0.750 0.250 0.250
H: 0.750 0.250 0.750
H: 0.750 0.750 0.250
H: 0.750 0.750 0.750

Space group ... Fm-3m, No. 225
Calculated total energy ... -3.048 eV/atom
Mass density ... 4.49 g/cm3

---

VASP calculation (PBE) on GaPH after structural relaxation.

Cell lengths 6.083, 6.092, 5.162 Å; angles 90.00, 92.71, 90.00 degrees
Atoms (fractional coordinates):
Ga: 0.050 0.000 0.249
Ga: 0.450 0.500 0.751
Ga: 0.550 0.500 0.249
Ga: 0.950 0.000 0.751
P: 0.048 0.409 0.704
P: 0.452 0.909 0.296
P: 0.548 0.909 0.704
P: 0.952 0.409 0.296
H: 0.083 0.585 0.198
H: 0.417 0.085 0.802
H: 0.583 0.085 0.198
H: 0.917 0.585 0.802

Space group ... C2, No. 5
Calculated total energy ... -3.869 eV/atom
Mass density ... 3.54 g/cm3

---

VASP calculation (PBE) on GaP2H after structural relaxation.

Cell lengths 4.656, 5.032, 6.527 Å; angles 68.19, 83.89, 89.28 degrees
Atoms (fractional coordinates):
Ga: 0.000 0.000 0.000
Ga: 0.432 0.122 0.718
P: 0.012 0.149 0.315
P: 0.441 0.609 0.449
P: 0.746 0.821 0.588
P: 0.750 0.539 0.200
H: 0.554 0.493 0.062
H: 0.699 0.168 0.887

Space group ... P1, No. 1
Calculated total energy ... -4.314 eV/atom
Mass density ... 3.12 g/cm3

---

VASP calculation (PBE) on GaPH after structural relaxation.

Cell lengths 4.085, 4.936, 4.358 Å; angles 90.00, 90.00, 90.00 degrees
Atoms (fractional coordinates):
Ga: 0.000 0.000 0.000
Ga: 0.500 0.500 0.500
P: 0.000 0.500 0.170
P: 0.500 0.000 0.670
H: 0.000 0.500 0.834
H: 0.500 0.000 0.334

Space group ... Imm2, No. 44
Calculated total energy ... -3.834 eV/atom
Mass density ... 3.84 g/cm3